{"formula": "CdH3Rh", "functional": "PBE", "state": "relaxed", "dos_at_fermi_per_ev_atom": 0.12, "energy_ev_per_atom": -3.679, "cell": [[3.248, 0.000, -0.013], [0.000, 4.728, 0.000], [-1.588, 0.000, 6.639]], "species": ["H", "H", "H", "H", "H", "H", "Cd", "Cd", "Rh", "Rh"], "frac_coords": [[0.811, 0.453, 0.119], [0.361, 0.250, 0.221], [0.639, 0.750, 0.779], [0.189, 0.547, 0.881], [0.189, 0.953, 0.881], [0.811, 0.047, 0.119], [0.414, 0.750, 0.327], [0.586, 0.250, 0.673], [0.094, 0.750, 0.689], [0.906, 0.250, 0.311]]}